(1)
6
Lattice="4.219 0.000 0.000 0.000 4.219 0.000 0.000 0.000 5.276" Properties=species:S:1:pos:R:3 comment="CaSi2Tc2B | Alexandria | PBE | optimized geometry" raw_formation_energy_mev_per_atom=-474 dos_at_fermi_per_ev_atom=0.624 dft_energy_ev_per_atom=-7.184 space_group="P4/mmm, No. 123" pbc="T T T"
Ca 0.000 0.000 0.000
Si 2.109 2.109 1.234
Si 2.109 2.109 4.043
Tc 0.000 2.109 2.638
Tc 2.109 0.000 2.638
B 0.000 0.000 2.638

(2)
10
Lattice="9.542 -2.126 0.000 9.542 2.126 0.000 -2.478 0.000 8.790" Properties=species:S:1:pos:R:3 comment="Ho4AgTe5 | Alexandria | PBE | optimized geometry" raw_formation_energy_mev_per_atom=-1015 dos_at_fermi_per_ev_atom=0.461 dft_energy_ev_per_atom=-4.702 space_group="C2/m, No. 12" pbc="T T T"
Ho -0.551 0.000 2.076
Ho 5.239 0.000 3.655
Ho 11.366 0.000 5.135
Ho 17.156 0.000 6.714
Ag 8.302 0.000 4.395
Te 0.989 0.000 7.079
Te 2.324 0.000 2.952
Te 9.542 0.000 0.000
Te 14.281 0.000 5.838
Te 15.616 0.000 1.711

(3)
20
Lattice="4.706 0.000 0.000 0.000 4.706 0.000 0.000 0.000 23.490" Properties=species:S:1:pos:R:3 comment="Ce15Al4In | Alexandria | PBE | optimized geometry" delta_e_f_mev_per_atom=-162 dos_at_fermi_per_ev_atom=2.877 dft_energy_ev_per_atom=-5.498 space_group="P4/mmm, No. 123" pbc="T T T"
Ce 0.000 0.000 0.000
Ce 0.000 0.000 4.791
Ce 0.000 0.000 9.428
Ce 0.000 0.000 14.062
Ce 0.000 0.000 18.699
Ce 0.000 2.353 2.466
Ce 0.000 2.353 7.099
Ce 0.000 2.353 11.745
Ce 0.000 2.353 16.391
Ce 0.000 2.353 21.024
Ce 2.353 0.000 2.466
Ce 2.353 0.000 7.099
Ce 2.353 0.000 11.745
Ce 2.353 0.000 16.391
Ce 2.353 0.000 21.024
Al 2.353 2.353 4.771
Al 2.353 2.353 9.422
Al 2.353 2.353 14.068
Al 2.353 2.353 18.719
In 2.353 2.353 0.000

(4)
20
Lattice="7.473 0.000 0.000 0.000 3.953 0.000 0.000 0.000 15.274" Properties=species:S:1:pos:R:3 comment="ThNpS3 | Alexandria | PBE | optimized geometry" raw_formation_energy_mev_per_atom=-1710 dos_at_fermi_per_ev_atom=1.945 dft_energy_ev_per_atom=-8.259 space_group="Pnma, No. 62" pbc="T T T"
Th 1.855 0.988 0.657
Th 1.882 2.964 8.295
Th 5.591 0.988 6.980
Th 5.619 2.964 14.617
Np 0.831 2.964 4.403
Np 2.906 0.988 12.040
Np 4.568 2.964 3.234
Np 6.642 0.988 10.871
S 0.042 2.964 1.591
S 0.949 0.988 6.499
S 1.215 2.964 11.062
S 2.521 0.988 3.425
S 2.788 2.964 14.136
S 3.694 0.988 9.228
S 3.779 2.964 6.046
S 4.686 0.988 1.139
S 4.952 2.964 11.850
S 6.258 0.988 4.212
S 6.524 2.964 8.776
S 7.431 0.988 13.683

(5)
5
Lattice="-2.521 2.645 6.301 2.521 -2.645 6.301 2.521 2.645 -6.301" Properties=species:S:1:pos:R:3 comment="CsInSn2Hg | Alexandria | PBE | optimized geometry" delta_e_f_mev_per_atom=-167 dos_at_fermi_per_ev_atom=0.251 dft_energy_ev_per_atom=-2.547 space_group="Imm2, No. 44" pbc="T T T"
Cs 0.000 0.000 0.000
In 2.521 0.000 3.206
Sn 0.000 0.000 7.843
Sn 0.000 2.645 3.258
Hg 0.000 0.000 4.862

(6)
4
Lattice="3.550 0.000 0.000 0.000 3.550 0.000 0.000 0.000 7.187" Properties=species:S:1:pos:R:3 comment="TaP2Pb | Alexandria | PBE | optimized geometry" delta_e_f_mev_per_atom=22 dos_at_fermi_per_ev_atom=0.575 dft_energy_ev_per_atom=-6.573 space_group="P4mm, No. 99" pbc="T T T"
Ta 0.000 0.000 0.000
P 0.000 0.000 2.314
P 1.775 1.775 6.786
Pb 1.775 1.775 3.743

(7)
6
Lattice="3.587 0.000 0.000 0.000 3.587 0.000 0.000 0.000 9.881" Properties=species:S:1:pos:R:3 comment="ThScAg4 | Alexandria | PBE | optimized geometry" delta_e_f_mev_per_atom=-160 dos_at_fermi_per_ev_atom=0.614 dft_energy_ev_per_atom=-4.352 space_group="P4/mmm, No. 123" pbc="T T T"
Th 0.000 0.000 0.000
Sc 1.793 1.793 4.941
Ag 0.000 0.000 3.424
Ag 0.000 0.000 6.457
Ag 1.793 1.793 1.994
Ag 1.793 1.793 7.887

(8)
4
Lattice="4.915 0.000 0.000 0.000 4.915 0.000 0.000 0.000 2.879" Properties=species:S:1:pos:R:3 comment="ScNbPt2 | Alexandria | PBE | optimized geometry" delta_e_f_mev_per_atom=-810 dos_at_fermi_per_ev_atom=0.908 dft_energy_ev_per_atom=-7.931 space_group="P4/mmm, No. 123" pbc="T T T"
Sc 0.000 0.000 0.000
Nb 2.458 2.458 0.000
Pt 0.000 2.458 1.440
Pt 2.458 0.000 1.440

(9)
5
Lattice="-1.586 1.586 7.769 1.586 -1.586 7.769 1.586 1.586 -7.769" Properties=species:S:1:pos:R:3 comment="Na2PRu2 | Alexandria | PBE | optimized geometry" delta_e_f_mev_per_atom=845 dos_at_fermi_per_ev_atom=0.837 dft_energy_ev_per_atom=-4.475 space_group="I4/mmm, No. 139" pbc="T T T"
Na 1.586 0.000 3.885
Na 0.000 1.586 3.885
P 0.000 0.000 0.000
Ru 0.000 0.000 6.484
Ru 0.000 0.000 9.054

(10)
5
Lattice="4.833 0.000 0.000 0.000 4.833 0.000 0.000 0.000 4.893" Properties=species:S:1:pos:R:3 comment="BaAl2GaRu | Alexandria | PBE | optimized geometry" delta_e_f_mev_per_atom=-444 dos_at_fermi_per_ev_atom=0.435 dft_energy_ev_per_atom=-4.787 space_group="P4/mmm, No. 123" pbc="T T T"
Ba 0.000 0.000 0.000
Al 0.000 2.417 2.446
Al 2.417 0.000 2.446
Ga 2.417 2.417 0.000
Ru 2.417 2.417 2.446

(11)
4
Lattice="2.778 0.000 0.000 0.000 2.778 0.000 0.000 0.000 9.644" Properties=species:S:1:pos:R:3 comment="ScTa2W | Alexandria | PBE | optimized geometry" delta_e_f_mev_per_atom=268 dos_at_fermi_per_ev_atom=1.203 dft_energy_ev_per_atom=-10.480 space_group="P4mm, No. 99" pbc="T T T"
Sc 0.000 0.000 0.000
Ta 0.000 0.000 4.945
Ta 1.389 1.389 2.598
W 1.389 1.389 7.289

(12)
8
Lattice="3.009 -5.229 0.000 3.009 5.229 0.000 -2.738 0.000 5.333" Properties=species:S:1:pos:R:3 comment="Hf6CoIr | Alexandria | PBE | optimized geometry" delta_e_f_mev_per_atom=20 dos_at_fermi_per_ev_atom=1.162 dft_energy_ev_per_atom=-9.441 space_group="C2/m, No. 12" pbc="T T T"
Hf 0.756 2.078 1.307
Hf -0.632 0.000 4.065
Hf 0.756 -2.078 1.307
Hf 2.525 2.078 4.026
Hf 3.913 0.000 1.269
Hf 2.525 -2.078 4.026
Co 0.000 0.000 0.000
Ir 1.640 0.000 2.667

| no. | size of the total moment (μB/cell) |
| --- | --- |
| 1 | 0.00 |
| 2 | 0.00 |
| 3 | 13.05 |
| 4 | 17.72 |
| 5 | 0.00 |
| 6 | 0.00 |
| 7 | 0.00 |
| 8 | 0.00 |
| 9 | 1.24 |
| 10 | 0.00 |
| 11 | 0.00 |
| 12 | 0.00 |